Here is an optimized crystal structure of HfCuSn from Alexandria. Energies are from PBE.

Summary:
Calculated volume = 57.1 Å³/f.u.
Total magnetic moment = 0.00 μB per cell
Total DFT energy (no corrections) = -36.68 eV per cell
E_form = -9.2 kJ/mol of atoms

```
data_HfCuSn
_cell_length_a 3.202
_cell_length_b 3.202
_cell_length_c 11.141
_cell_angle_alpha 90.00
_cell_angle_beta 90.00
_cell_angle_gamma 90.00
_symmetry_space_group_name_H-M 'I 4 m m'
_symmetry_Int_Tables_number 107
_symmetry_space_group_name_Hall 'I 4 -2'
loop_
_atom_site_label
_atom_site_type_symbol
_atom_site_fract_x
_atom_site_fract_y
_atom_site_fract_z
Hf1 Hf 0.000 0.000 0.000
Cu1 Cu 0.000 0.000 0.647
Sn1 Sn 0.000 0.000 0.301
```